A plane-wave DFT calculation with PBE was carried out for crystalline Ca3TiS at its relaxed geometry.

Summary:
- M_tot: 4.23 μB per formula unit
- Symmetry: Pm-3m (221)
- V: 160 Å³ per cell
- Uncorrected formation energy: -0.33 eV per atom

Lattice parameters (Å, degrees): 5.4249 5.4249 5.4249 90.00 90.00 90.00
Last column: nearest neighbours and their distance in Å.
Fractional positions:
Ca 0.0000 0.5000 0.0000  2 S 2.71
Ca 0.5000 0.0000 0.0000  2 S 2.71
Ca 0.0000 0.0000 0.5000  2 S 2.71
Ti 0.5000 0.5000 0.5000  12 Ca 3.84
S 0.0000 0.0000 0.0000  6 Ca 2.71

***

A plane-wave DFT calculation with PBE was carried out for crystalline B2C at its relaxed geometry.

Summary:
- Formation energy: 0.523 eV per atom
- M_tot: 0.00 μB per formula unit
- Symmetry: P1 (1)
- V: 79 Å³ per cell

Lattice parameters (Å, degrees): 3.5001 4.4086 5.4366 107.88 89.64 83.06
Last column: nearest neighbours and their distance in Å.
Fractional positions:
B 0.2847 0.8925 0.2454  2 C 1.54-1.66, 1 B 1.71
B 0.0188 0.0714 0.0139  2 C 1.71-1.88, 3 B 1.74-1.91
B 0.1882 0.3541 0.8387  1 B 1.56, 1 C 1.59
B 0.0256 0.0962 0.5269  4 B 1.71-1.89, 1 C 1.85
B 0.9334 0.6419 0.3989  3 C 1.67-1.74
B 0.5685 0.3218 0.5711  2 C 1.64-1.75, 1 B 1.75
B 0.4074 0.0070 0.7480  1 C 1.56, 1 B 1.56
B 0.5671 0.2971 0.0812  2 C 1.58-1.69, 1 B 1.74
C 0.6877 0.6877 0.6757  3 B 1.56-1.67, 1 C 1.59
C 0.6546 0.6560 0.1539  3 B 1.54-1.67, 1 C 1.56
C 0.2534 0.2895 0.3174  5 B 1.66-1.85
C 0.9106 0.6847 0.9288  2 C 1.56-1.59, 2 B 1.59-1.71

***

A plane-wave DFT calculation with PBE was carried out for crystalline MgBeAl2As at its relaxed geometry.

Summary:
- Formation energy: 1.181 eV per atom
- M_tot: 0.00 μB per formula unit
- Symmetry: P4/mmm (123)
- V: 129 Å³ per cell

Lattice parameters (Å, degrees): 5.1659 4.8318 5.1659 90.00 90.00 90.00
Last column: nearest neighbours and their distance in Å.
Fractional positions:
Al 0.5000 0.0000 0.0000  2 Mg 2.58
Al 0.0000 0.0000 0.5000  2 Mg 2.58
Mg 0.0000 0.0000 0.0000  2 As 2.42, 4 Al 2.58
Be 0.5000 0.5000 0.5000  8 Al 3.54, 4 As 3.65
As 0.0000 0.5000 0.0000  2 Mg 2.42